DFT (PBE-GGA) results for a relaxed structure of Si2Hg.

Structure (POSCAR):
```
Si2Hg
1.0
2.921 0.000 0.000
-1.460 2.530 0.000
0.000 0.000 8.121
Hg Si
1 2
Cartesian
0.000 0.000 0.000
1.460 0.843 5.042
0.000 1.686 3.079
```

Output
- E_tot: -3.17 eV per atom
- Energy relative to the elements, uncorrected: 12.64 kcal/mol of atoms
- SG: P-3m1 (164)



DFT (PBE-GGA) results for a relaxed structure of Si7Hg6.

Structure (POSCAR):
```
Si7Hg6
1.0
-3.146 6.136 -11.261
-7.686 5.420 -9.269
-4.938 9.372 -7.884
Si Hg
7 6
Cartesian
-7.888 11.444 -16.997
-8.780 13.055 -15.315
-10.148 11.088 -16.005
-7.881 9.484 -11.417
-5.622 9.840 -12.409
-6.990 7.873 -13.099
-7.885 10.464 -14.207
-14.994 19.898 -27.016
-0.776 1.030 -1.398
-13.381 17.757 -24.109
-2.389 3.171 -4.305
-10.801 14.335 -19.462
-4.968 6.593 -8.952
```

Output
- E_tot: -2.61 eV per atom
- Energy relative to the elements, uncorrected: 10.45 kcal/mol of atoms
- SG: R-3m (166)



Which value of E_tot does entry 2 give?
-2.61 eV per atom